No. 1
Below is crystalline LiAs2Au at its relaxed geometry, with properties calculated at the PBE level.

## Properties
ΔH_f (0 K)	-0.15	eV/atom
energy above the most stable polymorph in this dataset	0.084	eV/atom
spin magnetization	0.0	μB/cell

abc: 4.1873 4.1873 4.0184
angles: 90.00 90.00 90.00
Fractional coordinates of all 4 atoms:
Li: 0.0000 0.0000 0.0000
As: 0.0000 0.5000 0.5000
As: 0.5000 0.0000 0.5000
Au: 0.5000 0.5000 0.0000

=====

No. 2
Below is crystalline UH6Pd5 at its relaxed geometry, with properties calculated at the PBE level.

## Properties
energy	-4.903	eV/atom
spin magnetization	2.5	μB/cell

abc: 5.1565 5.1641 5.3584
angles: 98.40 98.57 115.39
Fractional coordinates of all 12 atoms:
U: 0.0000 0.0000 0.0000
H: 0.1981 0.5241 0.2654
H: 0.2019 0.2012 0.6145
H: 0.4759 0.8012 0.7346
H: 0.5241 0.1988 0.2654
H: 0.7981 0.7988 0.3855
H: 0.8019 0.4759 0.7346
Pd: 0.1662 0.8341 0.4999
Pd: 0.3288 0.6710 0.0000
Pd: 0.5000 0.5000 0.5000
Pd: 0.6712 0.3290 0.0000
Pd: 0.8338 0.1659 0.5001

=====

No. 3
Below is crystalline Tl3ZnPb at its relaxed geometry, with properties calculated at the PBE level.

## Properties
ΔH_f (0 K)	0.25	eV/atom
energy above the most stable polymorph in this dataset	0.000	eV/atom
spin magnetization	0.0	μB/cell

abc: 5.3944 5.3944 5.3944
angles: 90.00 90.00 90.00
Fractional coordinates of all 5 atoms:
Tl: 0.0000 0.0000 0.5000
Tl: 0.0000 0.5000 0.0000
Tl: 0.5000 0.0000 0.0000
Zn: 0.0000 0.0000 0.0000
Pb: 0.5000 0.5000 0.5000

=====

No. 4
Below is crystalline BaSc2Ni at its relaxed geometry, with properties calculated at the PBE level.

## Properties
ΔH_f (0 K)	0.46	eV/atom
energy above the most stable polymorph in this dataset	0.479	eV/atom
spin magnetization	1.2	μB/cell

abc: 6.2351 6.2351 6.2351
angles: 139.59 139.59 58.48
Fractional coordinates of all 4 atoms:
Ba: 0.0000 0.0000 0.0000
Sc: 0.2500 0.7500 0.5000
Sc: 0.7500 0.2500 0.5000
Ni: 0.5000 0.5000 0.0000

=====

No. 5
Below is crystalline CrSbAs2 at its relaxed geometry, with properties calculated at the PBE level.

## Properties
spin magnetization	6.3	μB/cell
formation energy (no corrections)	0.21	eV per atom

abc: 7.4324 7.4324 7.4324
angles: 132.85 132.85 68.89
Fractional coordinates of all 8 atoms:
Cr: 0.0000 0.0000 0.0000
Cr: 0.7500 0.2500 0.5000
Sb: 0.2500 0.7500 0.5000
Sb: 0.5000 0.5000 0.0000
As: 0.0761 0.6250 0.9511
As: 0.3750 0.3261 0.4511
As: 0.6739 0.1250 0.0489
As: 0.8750 0.9239 0.5489

=====

No. 6
Below is crystalline SmBOsC at its relaxed geometry, with properties calculated at the PBE level.

## Properties
ΔH_f (0 K)	-0.20	eV/atom
spin magnetization	0.3	μB/cell

abc: 3.7294 3.7294 8.0886
angles: 90.00 90.00 90.00
Fractional coordinates of all 8 atoms:
Sm: 0.2500 0.2500 0.1624
Sm: 0.7500 0.7500 0.8376
B: 0.2500 0.2500 0.6653
B: 0.7500 0.7500 0.3347
Os: 0.2500 0.7500 0.5000
Os: 0.7500 0.2500 0.5000
C: 0.2500 0.2500 0.8530
C: 0.7500 0.7500 0.1470

=====

No. 7
Below is crystalline CaScC2 at its relaxed geometry, with properties calculated at the PBE level.

## Properties
ΔH_f (0 K)	0.82	eV/atom
energy above the most stable polymorph in this dataset	0.000	eV/atom
spin magnetization	0.0	μB/cell

abc: 4.2304 4.2304 4.2304
angles: 60.00 60.00 60.00
Fractional coordinates of all 4 atoms:
Ca: 0.0000 0.0000 0.0000
Sc: 0.5000 0.5000 0.5000
C: 0.2500 0.2500 0.2500
C: 0.7500 0.7500 0.7500

=====

No. 8
Below is crystalline CsI2NCl at its relaxed geometry, with properties calculated at the PBE level.

## Properties
energy above the most stable polymorph in this dataset	0.000	eV/atom
spin magnetization	0.3	μB/cell
formation energy (no corrections)	0.35	eV per atom

abc: 7.3958 7.3958 3.4826
angles: 90.00 90.00 90.00
Fractional coordinates of all 5 atoms:
Cs: 0.0000 0.0000 0.0000
I: 0.0000 0.5000 0.5000
I: 0.5000 0.0000 0.5000
N: 0.5000 0.5000 0.0000
Cl: 0.5000 0.5000 0.5000

=====

No. 9
Below is crystalline LaAs2Pb at its relaxed geometry, with properties calculated at the PBE level.

## Properties
ΔH_f (0 K)	-0.68	eV/atom
energy above the most stable polymorph in this dataset	0.013	eV/atom
spin magnetization	0.0	μB/cell

abc: 4.2930 4.2930 6.3315
angles: 90.00 90.00 90.00
Fractional coordinates of all 4 atoms:
La: 0.0000 0.0000 0.0000
As: 0.0000 0.0000 0.4978
As: 0.5000 0.5000 0.9801
Pb: 0.5000 0.5000 0.4448

=====

No. 10
Below is crystalline CaTbNd4 at its relaxed geometry, with properties calculated at the PBE level.

## Properties
ΔH_f (0 K)	0.04	eV/atom
energy above the most stable polymorph in this dataset	0.000	eV/atom
spin magnetization	0.0	μB/cell

abc: 3.6495 5.2403 11.1088
angles: 90.00 90.00 90.00
Fractional coordinates of all 6 atoms:
Ca: 0.0000 0.0000 0.0000
Tb: 0.5000 0.5000 0.5000
Nd: 0.0000 0.0000 0.3396
Nd: 0.0000 0.0000 0.6604
Nd: 0.5000 0.5000 0.1802
Nd: 0.5000 0.5000 0.8198

=====

No. 11
Below is crystalline Be4Cd at its relaxed geometry, with properties calculated at the PBE level.

## Properties
ΔH_f (0 K)	0.47	eV/atom
energy above the most stable polymorph in this dataset	0.095	eV/atom
spin magnetization	0.0	μB/cell

abc: 6.1167 6.1167 6.1167
angles: 149.92 149.92 43.06
Fractional coordinates of all 5 atoms:
Be: 0.1133 0.1133 0.0000
Be: 0.2500 0.7500 0.5000
Be: 0.7500 0.2500 0.5000
Be: 0.8867 0.8867 0.0000
Cd: 0.5000 0.5000 0.0000

=====

No. 12
Below is crystalline Nd3DySb4 at its relaxed geometry, with properties calculated at the PBE level.

## Properties
spin magnetization	0.0	μB/cell
formation energy (no corrections)	-1.17	eV per atom

abc: 7.7768 7.7768 4.4936
angles: 90.00 90.00 109.48
Fractional coordinates of all 8 atoms:
Nd: 0.0000 0.0000 0.0000
Nd: 0.0000 0.5000 0.5000
Nd: 0.5000 0.0000 0.5000
Dy: 0.5000 0.5000 0.0000
Sb: 0.2531 0.7469 0.0000
Sb: 0.2560 0.2560 0.5000
Sb: 0.7440 0.7440 0.5000
Sb: 0.7469 0.2531 0.0000